Record 1
! Na2HfPbO6 PBE relaxed; values from VASP
! Uncorrected energy, eV per atom: -6.213
! Calculated volume, A^3/atom: 14.056
! Magnetic moment, μB per atom: 0.20
&SYSTEM
  ibrav = 0, nat = 10, ntyp = 4
/
ATOMIC_SPECIES
O 16.00 O.upf
Na 22.99 Na.upf
Pb 207.20 Pb.upf
Hf 178.49 Hf.upf
CELL_PARAMETERS angstrom
5.7682 0.0005 -0.0014
2.8845 4.9957 -0.0001
2.8829 1.6663 4.8778
ATOMIC_POSITIONS crystal
O 0.5888 0.1456 0.2895
Na 0.5484 0.5487 0.3551
O 0.9772 0.5896 0.2886
Pb 0.3182 0.3183 0.0453
Na 0.0476 0.0471 0.8577
O 0.0728 0.4839 0.7771
O 0.6654 0.0720 0.7779
Hf 0.8140 0.8139 0.5579
O 0.1445 0.9771 0.2902
O 0.4846 0.6654 0.7758

---

Record 2
! Mo2RuPt PBE relaxed; values from VASP
! Uncorrected energy, eV per atom: -9.423
! Distance to the lowest polymorph of the same formula, meV/atom: 19.4
! Calculated volume, A^3/atom: 15.170
! ΔH_f (0 K), eV/f.u.: -0.711
! Magnetic moment, μB per atom: 0.00
&SYSTEM
  ibrav = 0, nat = 4, ntyp = 3
/
ATOMIC_SPECIES
Pt 195.08 Pt.upf
Mo 95.94 Mo.upf
Ru 101.07 Ru.upf
CELL_PARAMETERS angstrom
3.9402 0.0000 0.0000
0.0000 2.7675 0.0021
0.0000 2.7512 5.5669
ATOMIC_POSITIONS crystal
Pt 0.5000 0.2500 0.2500
Mo 0.0000 0.0155 0.9847
Mo 0.0000 0.4845 0.5153
Ru 0.5000 0.7500 0.7500

---

Record 3
! Cs2ZnReBr PBE relaxed; values from VASP
! Uncorrected energy, eV per atom: -2.905
! Calculated volume, A^3/atom: 46.996
! Magnetic moment, μB per atom: 0.65
&SYSTEM
  ibrav = 0, nat = 5, ntyp = 4
/
ATOMIC_SPECIES
Br 79.90 Br.upf
Cs 132.91 Cs.upf
Zn 65.41 Zn.upf
Re 186.21 Re.upf
CELL_PARAMETERS angstrom
6.9234 0.0000 0.0000
0.0000 4.9022 0.0000
0.0000 0.0000 6.9234
ATOMIC_POSITIONS crystal
Br 0.5000 0.5000 0.5000
Cs 0.0000 0.0000 0.5000
Zn 0.0000 0.0000 0.0000
Cs 0.5000 0.0000 0.0000
Re 0.0000 0.5000 0.0000

---

Record 4
! ScTlAs2 PBE relaxed; values from VASP
! Uncorrected energy, eV per atom: -4.908
! Distance to the lowest polymorph of the same formula, meV/atom: 116.2
! Calculated volume, A^3/atom: 24.612
! ΔH_f (0 K), eV/f.u.: -1.635
! Magnetic moment, μB per atom: 0.00
&SYSTEM
  ibrav = 0, nat = 4, ntyp = 3
/
ATOMIC_SPECIES
Tl 204.38 Tl.upf
As 74.92 As.upf
Sc 44.96 Sc.upf
CELL_PARAMETERS angstrom
-2.5628 6.8185 0.9744
-5.4518 4.3429 2.3295
-2.2715 5.2045 4.6651
ATOMIC_POSITIONS crystal
Tl 0.7500 0.7500 0.7500
As 0.5147 0.5147 0.5147
As 0.9853 0.9853 0.9853
Sc 0.2500 0.2500 0.2500

---

Record 5
! AcN2F2 PBE relaxed; values from VASP
! Uncorrected energy, eV per atom: -7.059
! Calculated volume, A^3/atom: 18.315
! Magnetic moment, μB per atom: 0.00
&SYSTEM
  ibrav = 0, nat = 10, ntyp = 3
/
ATOMIC_SPECIES
F 19.00 F.upf
N 14.01 N.upf
Ac 227.00 Ac.upf
CELL_PARAMETERS angstrom
-6.8308 -0.6986 2.3435
-5.5476 -2.1029 -5.5660
-1.6871 -3.5798 1.4656
ATOMIC_POSITIONS crystal
F 0.0372 0.3925 0.7681
N 0.2621 0.0000 0.1989
F 0.5703 0.3925 0.2319
Ac 0.8333 0.3333 0.5000
F 0.9628 0.6075 0.2319
N 0.7379 0.0000 0.8011
N 0.8450 0.0000 0.9306
F 0.4297 0.6075 0.7681
Ac 0.1667 0.6667 0.5000
N 0.1550 0.0000 0.0694

---

Record 6
! PrHoThMg PBE relaxed; values from VASP
! Uncorrected energy, eV per atom: -4.497
! Distance to the lowest polymorph of the same formula, meV/atom: 137.5
! Calculated volume, A^3/atom: 30.725
! ΔH_f (0 K), eV/f.u.: 0.384
! Magnetic moment, μB per atom: 0.00
&SYSTEM
  ibrav = 0, nat = 4, ntyp = 4
/
ATOMIC_SPECIES
Th 232.04 Th.upf
Pr 140.91 Pr.upf
Mg 24.30 Mg.upf
Ho 164.93 Ho.upf
CELL_PARAMETERS angstrom
-0.8729 4.8241 -2.6666
-4.6507 0.7298 -2.9972
-3.9551 3.5044 1.7946
ATOMIC_POSITIONS crystal
Th 0.2500 0.2500 0.2500
Pr 0.7500 0.7500 0.7500
Mg 0.5000 0.5000 0.5000
Ho 0.0000 0.0000 0.0000

---

Question: What is the magnetic moment in the second record?
Answer: 0.00 μB per atom